No. 1
# KSc2CoAs GGA-PBE optimized geometry
# VASP energy ... -4.890 eV per atom
# ΔH_f (0 K) ... 20.6 kJ per mole of atoms
data_KSc2CoAs
_cell_length_a 5.249
_cell_length_b 5.249
_cell_length_c 4.479
_cell_angle_alpha 90.00
_cell_angle_beta 90.00
_cell_angle_gamma 90.00
_space_group_name_H-M_alt 'P 1'
_space_group_IT_number 1
loop_
_space_group_symop_operation_xyz
'x,y,z'
loop_
_atom_site_label
_atom_site_type_symbol
_atom_site_fract_x
_atom_site_fract_y
_atom_site_fract_z
K1 K 0.000 0.000 0.000
Sc1 Sc 0.000 0.500 0.500
Sc2 Sc 0.500 0.000 0.500
Co1 Co 0.500 0.500 0.000
As1 As 0.500 0.500 0.500


No. 2
# ZrBeTeI2 GGA-PBE optimized geometry
# VASP energy ... -3.484 eV per atom
# Energy relative to the elements, uncorrected ... 1.10 eV per formula unit
# Distance to the lowest polymorph of the same formula ... 0.0000 eV per atom
data_ZrBeTeI2
_cell_length_a 5.813
_cell_length_b 5.813
_cell_length_c 5.582
_cell_angle_alpha 90.00
_cell_angle_beta 90.00
_cell_angle_gamma 90.00
_space_group_name_H-M_alt 'P 1'
_space_group_IT_number 1
loop_
_space_group_symop_operation_xyz
'x,y,z'
loop_
_atom_site_label
_atom_site_type_symbol
_atom_site_fract_x
_atom_site_fract_y
_atom_site_fract_z
Zr1 Zr 0.000 0.000 0.000
Be1 Be 0.500 0.500 0.500
Te1 Te 0.000 0.000 0.500
I1 I 0.000 0.500 0.000
I2 I 0.500 0.000 0.000


No. 3
# Nd4Se3Br4 GGA-PBE optimized geometry
# VASP energy ... -5.020 eV per atom
# Energy relative to the elements, uncorrected ... -19.00 eV per formula unit
data_Nd4Se3Br4
_cell_length_a 10.162
_cell_length_b 10.162
_cell_length_c 10.162
_cell_angle_alpha 158.35
_cell_angle_beta 128.93
_cell_angle_gamma 56.09
_space_group_name_H-M_alt 'P 1'
_space_group_IT_number 1
loop_
_space_group_symop_operation_xyz
'x,y,z'
loop_
_atom_site_label
_atom_site_type_symbol
_atom_site_fract_x
_atom_site_fract_y
_atom_site_fract_z
Nd1 Nd 0.225 0.225 0.000
Nd2 Nd 0.231 0.000 0.231
Nd3 Nd 0.769 0.000 0.769
Nd4 Nd 0.775 0.775 0.000
Se1 Se 0.091 0.591 0.500
Se2 Se 0.500 0.500 0.000
Se3 Se 0.909 0.409 0.500
Br1 Br 0.146 0.829 0.316
Br2 Br 0.487 0.171 0.316
Br3 Br 0.513 0.829 0.684
Br4 Br 0.854 0.171 0.684


No. 4
# SrTeSe2 GGA-PBE optimized geometry
# VASP energy ... -3.949 eV per atom
# Energy relative to the elements, uncorrected ... -4.00 eV per formula unit
data_SrTeSe2
_cell_length_a 7.841
_cell_length_b 4.737
_cell_length_c 7.026
_cell_angle_alpha 90.00
_cell_angle_beta 90.00
_cell_angle_gamma 90.00
_space_group_name_H-M_alt 'P 1'
_space_group_IT_number 1
loop_
_space_group_symop_operation_xyz
'x,y,z'
loop_
_atom_site_label
_atom_site_type_symbol
_atom_site_fract_x
_atom_site_fract_y
_atom_site_fract_z
Sr1 Sr 0.000 0.217 0.000
Sr2 Sr 0.500 0.783 0.500
Te1 Te 0.000 0.563 0.416
Te2 Te 0.500 0.437 0.916
Se1 Se 0.239 0.733 0.162
Se2 Se 0.261 0.267 0.662
Se3 Se 0.739 0.267 0.662
Se4 Se 0.761 0.733 0.162